This record from Alexandria describes crystalline YCd2Cl at its relaxed geometry. The functional is GGA-PBEsol.

Summary:
formation energy without anion corrections = -598 meV per atom
calculated density = 6.5 g/cm3
M_tot = 0.00 μB/f.u.
excess energy over the best structure of this formula in the dataset = 0.00 eV/f.u.
space group = No. 139
DOS at the Fermi energy = 2.32 states/eV per cell

POSCAR file:
```
YCd2Cl
1.0
-2.674 -0.449 2.889
2.273 -2.781 1.671
2.841 5.616 0.785
Cd Cl Y
2 1 1
direct
0.750 0.250 0.500
0.250 0.750 0.500
0.500 0.500 0.000
0.000 0.000 0.000
```